# PBE-GGA USi2TcNi, optimized geometry
# E_form (uncorrected)   -0.50 eV/atom
data_USi2TcNi
_chemical_formula_sum 'U1 Si2 Tc1 Ni1'
_cell_length_a 5.722
_cell_length_b 5.722
_cell_length_c 5.722
_cell_angle_alpha 139.06
_cell_angle_beta 139.06
_cell_angle_gamma 59.28
_space_group_name_H-M_alt 'P 1'
_space_group_IT_number 1
_space_group_name_Hall 'P 1'
loop_
_atom_site_label
_atom_site_type_symbol
_atom_site_fract_x
_atom_site_fract_y
_atom_site_fract_z
U1 U 0.000 0.000 0.000
Si1 Si 0.379 0.379 0.000
Si2 Si 0.621 0.621 0.000
Tc1 Tc 0.750 0.250 0.500
Ni1 Ni 0.250 0.750 0.500